Below is an optimized crystal structure of Sm12ZnIn6, with properties calculated at the PBE-GGA level.

Cell: 8.205 8.205 8.205 Å, 89.39 89.39 89.39°
Positions (direct):
Sm: 0.062 0.371 0.120
Sm: 0.120 0.062 0.371
Sm: 0.190 0.566 0.473
Sm: 0.371 0.120 0.062
Sm: 0.434 0.527 0.810
Sm: 0.473 0.190 0.566
Sm: 0.527 0.810 0.434
Sm: 0.566 0.473 0.190
Sm: 0.629 0.880 0.938
Sm: 0.810 0.434 0.527
Sm: 0.880 0.938 0.629
Sm: 0.938 0.629 0.880
Zn: 0.000 0.000 0.000
In: 0.118 0.264 0.744
In: 0.256 0.882 0.736
In: 0.264 0.744 0.118
In: 0.736 0.256 0.882
In: 0.744 0.118 0.264
In: 0.882 0.736 0.256

Summary:
- E (eV per atom) = -4.152
- energy of formation from the pure elements (meV/atom) = -240